# KNa6Sr5 PBE relaxed
# V	46.699	Å³ per atom
# ρ	1823	kg/m³
# energy of formation	0.04	eV per atom
data_KNa6Sr5
_cell_length_a 6.3919
_cell_length_b 9.1315
_cell_length_c 10.1033
_cell_angle_alpha 90.00
_cell_angle_beta 108.14
_cell_angle_gamma 90.00
_space_group_name_H-M_alt 'P 1 2/m 1'
_space_group_IT_number 10
loop_
_space_group_symop_operation_xyz
'x,y,z'
'-x,-y,-z'
'-x,y,-z'
'x,-y,z'
loop_
_atom_site_label
_atom_site_fract_x
_atom_site_fract_y
_atom_site_fract_z
K1 0.0000 0.0000 0.0000
Na1 0.1669 0.2525 0.3330
Na2 0.5000 0.2507 0.0000
Sr1 0.0000 0.5000 0.0000
Sr2 0.3281 0.0000 0.6572
Sr3 0.3326 0.5000 0.6659

---

# K2Na3Sr PBE relaxed
# V	50.479	Å³ per atom
# ρ	1287	kg/m³
# energy of formation	0.03	eV per atom
data_K2Na3Sr
_cell_length_a 4.3369
_cell_length_b 4.3369
_cell_length_c 16.1030
_cell_angle_alpha 90.00
_cell_angle_beta 90.00
_cell_angle_gamma 90.00
_space_group_name_H-M_alt 'P 4/m m m'
_space_group_IT_number 123
_space_group_name_Hall '-P 4 2'
loop_
_atom_site_label
_atom_site_fract_x
_atom_site_fract_y
_atom_site_fract_z
K1 0.0000 0.0000 0.1751
Na1 0.5000 0.5000 0.0000
Na2 0.5000 0.5000 0.3460
Sr1 0.0000 0.0000 0.5000

---

no.,raw total energy (eV/atom)
1,-1.416
2,-1.278